Crystalline CaMgBe2 at its relaxed geometry, computed with PBE-GGA.

Unit cell a=4.959 b=4.959 c=4.959 alpha=132.74 beta=120.17 gamma=79.56
Fractional positions:
Be  0.922  0.922  0.000
Be  0.839  0.339  0.500
Ca  0.524  0.524  0.000
Mg  0.215  0.715  0.500

**Density of states at the Fermi level**: 0.338 states/eV/atom
**Energy of formation**: 0.354 eV per atom